[1]
The following is a DFT calculation (PBE) of a relaxed CaMo2Rh crystal.

Cell and atoms, written as POSCAR:
```
CaMo2Rh
1.0
-1.782 1.081 -1.822
-3.063 -3.565 0.879
-2.216 2.856 3.861
Mo Ca Rh
2 1 1
Direct
0.000 0.000 0.009
0.000 0.000 0.491
0.500 0.500 0.750
0.500 0.500 0.250
```

Computed properties:
For the energy of formation, the calculation gives 0.524 eV/atom. The calculation puts the relative energy among the computed polymorphs at 323.7 meV per atom. As for the space group: No. 47.

---

[2]
The following is a DFT calculation (PBE) of a relaxed Cs2OsC crystal.

Cell and atoms, written as POSCAR:
```
Cs2OsC
1.0
-3.068 -7.072 -4.669
-0.533 6.629 6.083
-1.298 5.653 -6.898
Cs C Os
4 2 2
Direct
0.125 0.445 0.820
0.555 0.375 0.680
0.625 0.305 0.180
0.695 0.875 0.320
0.500 0.500 0.000
0.750 0.250 0.500
0.000 0.000 0.000
0.250 0.750 0.500
```

Computed properties:
For the energy of formation, the calculation gives 0.899 eV/atom. The calculation puts the relative energy among the computed polymorphs at 0.0 meV per atom. As for the space group: No. 122.

---

[3]
The following is a DFT calculation (PBE) of a relaxed Li3Sc2PaTe6 crystal.

Cell and atoms, written as POSCAR:
```
Li3Sc2PaTe6
1.0
7.259 -0.001 0.000
-3.629 6.287 0.000
-1.210 -2.095 7.074
Te Pa Sc Li
6 1 2 3
Direct
0.916 0.572 0.748
0.084 0.428 0.252
0.739 0.739 0.252
0.572 0.916 0.748
0.428 0.084 0.252
0.261 0.261 0.748
0.000 0.000 0.000
0.667 0.333 0.000
0.333 0.667 0.000
0.837 0.163 0.500
0.163 0.837 0.500
0.500 0.500 0.500
```

Computed properties:
As for the space group: No. 12. For the formation energy from raw total energies, the calculation gives -101.8 kJ per mole of atoms.

---

[4]
The following is a DFT calculation (PBE) of a relaxed Ca4SmHg2 crystal.

Cell and atoms, written as POSCAR:
```
Ca4SmHg2
1.0
5.711 0.000 0.000
2.855 4.945 0.000
2.855 1.648 8.845
Sm Ca Hg
1 4 2
Direct
0.500 0.500 0.500
0.727 0.727 0.818
0.113 0.113 0.660
0.273 0.273 0.182
0.887 0.887 0.340
0.389 0.389 0.832
0.611 0.611 0.168
```

Computed properties:
For the energy of formation, the calculation gives -0.125 eV/atom. As for the space group: No. 166.

---

[5]
The following is a DFT calculation (PBE) of a relaxed Na2CuAu crystal.

Cell and atoms, written as POSCAR:
```
Na2CuAu
1.0
0.000 3.467 3.467
3.467 0.000 3.467
3.467 3.467 0.000
Na Au Cu
2 1 1
Direct
0.750 0.750 0.750
0.250 0.250 0.250
0.500 0.500 0.500
0.000 0.000 0.000
```

Computed properties:
For the energy of formation, the calculation gives 0.059 eV/atom. The calculation puts the relative energy among the computed polymorphs at 0.0 meV per atom. As for the space group: No. 225.

---

[6]
The following is a DFT calculation (PBE) of a relaxed Zn2CoMo crystal.

Cell and atoms, written as POSCAR:
```
Zn2CoMo
1.0
8.878 -0.014 -0.008
8.466 2.671 -0.008
8.466 1.297 2.335
Zn Co Mo
2 1 1
Direct
0.994 0.994 0.994
0.506 0.506 0.506
0.250 0.250 0.250
0.750 0.750 0.750
```

Computed properties:
For the energy of formation, the calculation gives 0.196 eV/atom. The calculation puts the relative energy among the computed polymorphs at 198.3 meV per atom. As for the space group: No. 166.